[1]
Density functional theory data (PBE) for crystalline MnZn2Ni at its relaxed geometry.

* uncorrected energy: -35.306 eV per cell
* V: 104.2 Å³ per cell
* formation enthalpy at 0 K: -0.2 eV per formula unit
* D(E_F): 0.62 states/eV/atom

a = 5.305 Å, b = 7.246 Å, c = 2.710 Å
α = 90.00°, β = 90.00°, γ = 90.00°
Space group Cmmm (No. 65)
Unique sites:
1 Mn 0.000 0.000 0.000 (multiplicity 2)
2 Zn 0.250 0.250 0.500 (multiplicity 4)
3 Ni 0.000 0.500 0.000 (multiplicity 2)

---

[2]
Density functional theory data (PBE) for crystalline Mn2ZnNi9 at its relaxed geometry.

* uncorrected energy: -72.925 eV per cell
* V: 136.3 Å³ per cell
* formation enthalpy at 0 K: -1.3 eV per formula unit
* D(E_F): 1.17 states/eV/atom

a = 3.572 Å, b = 3.572 Å, c = 10.683 Å
α = 90.00°, β = 90.00°, γ = 90.00°
Space group P4/mmm (No. 123)
Unique sites:
1 Mn 0.000 0.000 0.167 (multiplicity 2)
2 Zn 0.000 0.000 0.500 (multiplicity 1)
3 Ni 0.000 0.500 0.000 (multiplicity 2)
4 Ni 0.000 0.500 0.332 (multiplicity 4)
5 Ni 0.500 0.500 0.166 (multiplicity 2)
6 Ni 0.500 0.500 0.500 (multiplicity 1)

---

[3]
Density functional theory data (PBE) for crystalline MnZn2Ni at its relaxed geometry.

* uncorrected energy: -52.273 eV per cell
* V: 155.4 Å³ per cell
* formation enthalpy at 0 K: 0.1 eV per formula unit
* D(E_F): 0.72 states/eV/atom

a = 2.6665 Å, b = 2.6665 Å, c = 25.2405 Å
α = 90.00°, β = 90.00°, γ = 120.00°
Space group R-3m (No. 166, hexagonal axes)
Unique sites:
1 Mn 0.0000 0.0000 0.0000 (multiplicity 3)
2 Zn 0.0000 0.0000 0.2466 (multiplicity 6)
3 Ni 0.0000 0.0000 0.5000 (multiplicity 3)

---

[4]
Density functional theory data (PBE) for crystalline MnZn2Ni4 at its relaxed geometry.

* uncorrected energy: -69.149 eV per cell
* V: 182.2 Å³ per cell
* formation enthalpy at 0 K: 0.3 eV per formula unit
* D(E_F): 0.85 states/eV/atom

a = 5.115 Å, b = 5.115 Å, c = 6.964 Å
α = 90.00°, β = 90.00°, γ = 90.00°
Space group I4/mmm (No. 139)
Unique sites:
1 Mn 0.000 0.000 0.000 (multiplicity 2)
2 Zn 0.000 0.500 0.000 (multiplicity 4)
3 Ni 0.250 0.250 0.250 (multiplicity 8)